Below is an optimized crystal structure of RbIn2FeSn, with properties calculated at the PBE level.

Geometry as POSCAR:
```
RbIn2FeSn
1.0
5.166 0.000 0.000
0.000 5.166 0.000
0.000 0.000 5.041
Rb In Fe Sn
1 2 1 1
Direct
0.000 0.000 0.000 Rb
0.000 0.500 0.500 In
0.500 0.000 0.500 In
0.500 0.500 0.500 Fe
0.500 0.500 0.000 Sn
```

Calculated values
Energy of formation in eV/atom: 0.03
N(E_F) in states/eV/atom: 0.420